## TeBrN3 (PBE)

Data for TeBrN3 after structural relaxation. Values from VASP.

Structure (Quantum ESPRESSO input):
```
&SYSTEM
  ibrav = 0, nat = 5, ntyp = 3
/
ATOMIC_SPECIES
Te 127.60 Te.upf
Br 79.90 Br.upf
N 14.01 N.upf
ATOMIC_POSITIONS crystal
Te 0.000 0.000 0.000
Br 0.500 0.500 0.500
N 0.000 0.000 0.500
N 0.000 0.500 0.000
N 0.500 0.000 0.000
CELL_PARAMETERS angstrom
4.038 0.000 0.000
0.000 4.038 0.000
0.000 0.000 4.038
```

Results
ΔE_f (raw) (eV per formula unit): 10.9
DOS(E_F) (states/eV/f.u.): 5.2
Total energy (eV per atom): -3.78